48
Lattice="-4.6283 1.9326 -3.4526 -6.7389 -8.1500 4.4715 -4.8965 11.0407 12.7440" Properties=species:S:1:pos:R:3 comment="SCAN MoCl5, PBEsol geometry" de_polymorph_ev_per_atom=0.002 formation_energy_uncorrected_ev_per_atom=-0.92 dos_ef_per_ev_cell=17.81 pbc="T T T"
Cl -9.0902 6.7843 6.4129
Cl -11.1526 2.1635 9.6237
Cl -8.7876 5.9015 11.9902
Cl -10.0455 8.9383 8.8992
Cl -14.7984 3.7116 13.8794
Cl -5.8724 -0.9074 4.5774
Cl -6.6965 1.2638 7.0177
Cl -9.5671 3.5595 6.7453
Cl -8.3046 9.1297 11.6811
Cl -9.1000 2.1757 12.7615
Cl -4.8189 -2.9697 2.1310
Cl -12.9209 -0.5220 8.9927
Cl -8.0855 4.6784 3.5264
Mo -13.2586 1.6901 8.9403
Mo -6.7911 -2.7343 3.1631
Mo -1.9346 0.7197 2.0368
Mo -9.4724 7.5577 10.5998
Cl -13.8486 1.6925 11.3557
Cl -7.1734 -1.9609 7.3501
Cl -3.3427 5.3454 4.7703
Mo -8.4021 5.1441 7.8139
Cl -12.1079 4.3176 12.1100
Cl -7.9590 -4.3063 2.0819
Cl -7.4760 -1.0781 1.7728
Cl -5.4046 5.2766 1.7361
Cl -10.8590 -0.4533 12.0269
Cl -8.4219 1.0546 4.2345
Cl -11.4447 7.7931 11.6320
Cl -6.2181 -4.1150 4.8637
Cl -7.8417 3.7688 9.5284
Cl -11.8049 1.6794 14.4886
Cl -10.0559 4.3790 15.1239
Cl -1.4652 1.1118 -0.1164
Cl -7.4800 6.9812 9.2207
Mo -7.8615 -0.3208 5.9490
Cl -10.3912 5.7307 9.1855
Cl -8.1781 0.1449 10.2366
Cl -7.1636 2.6477 1.0014
Mo -14.3290 4.1037 11.7262
Cl -8.7836 -2.1579 4.5422
Cl -2.4150 3.1309 2.4073
Cl -6.2077 0.4444 -1.3609
Mo -3.0050 3.1332 4.8227
Cl -4.4587 3.1439 -0.7256
Cl -6.4268 4.8956 6.7938
Cl -4.1557 0.5058 1.6529
Cl -5.1110 2.6598 4.1393
Cl -9.8368 -0.0722 6.9692